No. 1
DFT (PBE-GGA) results for a relaxed Tm2UO6 crystal.

- energy relative to the elements, uncorrected (eV per atom) = -3.49
- DFT total energy (eV/atom) = -9.0466
- energy relative to the lowest polymorph listed for this composition (kJ/mol of formula units) = 0
- total magnetization (μB/f.u.) = 0.00

Cell lengths 3.808, 5.290, 10.994 Å; angles 90.00, 90.00, 90.00 degrees
Space group Immm (No. 71)
Asymmetric unit:
1 Tm 0.000 0.000 0.167
2 U 0.000 0.000 0.500
3 O 0.000 0.243 0.342
4 O 0.000 0.264 0.000


No. 2
DFT (PBE-GGA) results for a relaxed Tm5U2O12 crystal.

- energy relative to the elements, uncorrected (eV per atom) = -3.37
- DFT total energy (eV/atom) = -8.8666
- total magnetization (μB/f.u.) = 1.04

Cell lengths 12.175, 6.064, 7.804 Å; angles 90.00, 107.92, 90.00 degrees
Space group C2/m (No. 12)
Asymmetric unit:
1 Tm 0.000 0.000 0.000
2 Tm 0.185 0.500 0.279
3 Tm 0.204 0.500 0.863
4 U 0.000 0.222 0.500
5 O 0.010 0.500 0.319
6 O 0.025 0.000 0.291
7 O 0.149 0.255 0.054
8 O 0.179 0.259 0.624